Below is NaCoI2 after structural relaxation, with properties calculated at the PBE level.

Geometry as POSCAR:
```
NaCoI2
1.0
3.2592 1.0008 4.1069
2.1755 4.8417 0.5623
-1.6012 3.2019 3.9591
Na Co I
1 1 2
direct
0.0000 0.0000 0.0000
0.5000 0.5000 0.5000
0.7500 0.7500 0.7500
0.2500 0.2500 0.2500
```

Output
E_form (uncorrected): 39.2 kJ/mol of formula units
Calculated volume: 108 Å³ per cell
Excess energy over the best structure of this formula in the dataset: 0.426 eV/atom
Symmetry: Fm-3m